VASP calculation (SCAN) on a PBEsol-optimized structure of NaCd3Br.

a = 5.7826 Å, b = 5.7826 Å, c = 5.7826 Å
α = 90.00°, β = 90.00°, γ = 90.00°
Space group Pm-3m (No. 221)
Unique sites:
Na1 0.0000 0.0000 0.0000 x1
Cd1 0.0000 0.5000 0.5000 x3
Br1 0.5000 0.5000 0.5000 x1

Output
ρ   3.78 g cm⁻³
Raw formation energy   0.338 eV/atom
Size of the total moment   0.00 μB/cell